Record 1
Compound: YSiPb2
Source: Alexandria via LeMat-Bulk
Functional: PBE
Structure: optimized geometry

Output
Crystal system: monoclinic
Theoretical density, kg/m³: 7947
Spin magnetization, μB per cell: 0.00
Raw formation energy, eV/atom: -0.17

Lattice parameters (Å, degrees): 4.070 4.069 6.956 90.00 105.42 90.00
Fractional coordinates of all 4 atoms:
Y  0.000  0.000  0.000
Si  0.544  0.500  0.099
Pb  0.352  0.500  0.683
Pb  0.725  0.000  0.418

***

Record 2
Compound: Y2SiPb
Source: Alexandria via LeMat-Bulk
Functional: PBE
Structure: optimized geometry

Output
Crystal system: orthorhombic
Theoretical density, kg/m³: 6726
Spin magnetization, μB per cell: 0.00
Excess energy over the best structure of this formula in the dataset, eV/atom: 0.173
Raw formation energy, eV/atom: -0.40

Lattice parameters (Å, degrees): 5.478 5.478 5.478 131.34 121.30 79.62
Fractional coordinates of all 4 atoms:
Y  0.233  0.233  0.000
Y  0.767  0.767  0.000
Si  0.000  0.500  0.500
Pb  0.500  0.000  0.500

***

Record 3
Compound: YSiPb2
Source: Alexandria via LeMat-Bulk
Functional: PBE
Structure: optimized geometry

Output
Crystal system: orthorhombic
Theoretical density, kg/m³: 8202
Spin magnetization, μB per cell: 0.00
Raw formation energy, eV/atom: 0.20

Lattice parameters (Å, degrees): 3.442 3.442 9.521 90.00 90.00 107.51
Fractional coordinates of all 4 atoms:
Y  0.000  0.000  0.000
Si  0.000  0.000  0.500
Pb  0.500  0.500  0.269
Pb  0.500  0.500  0.731

***

Record 4
Compound: Y2SiPb
Source: Alexandria via LeMat-Bulk
Functional: PBE
Structure: optimized geometry

Output
Crystal system: tetragonal
Theoretical density, kg/m³: 6881
Spin magnetization, μB per cell: 0.00
Excess energy over the best structure of this formula in the dataset, eV/atom: 0.086
Raw formation energy, eV/atom: -0.49

Lattice parameters (Å, degrees): 3.401 3.401 8.619 90.00 90.00 90.00
Fractional coordinates of all 4 atoms:
Y  0.000  0.000  0.215
Y  0.000  0.000  0.785
Si  0.500  0.500  0.000
Pb  0.500  0.500  0.500

***

Record 5
Compound: YSi2Pb
Source: Alexandria via LeMat-Bulk
Functional: PBE
Structure: optimized geometry

Output
Crystal system: tetragonal
Theoretical density, kg/m³: 6673
Spin magnetization, μB per cell: 0.00
Raw formation energy, eV/atom: -0.08

Lattice parameters (Å, degrees): 4.614 4.614 4.118 90.00 90.00 90.00
Fractional coordinates of all 4 atoms:
Y  0.000  0.000  0.000
Si  0.000  0.500  0.500
Si  0.500  0.000  0.500
Pb  0.500  0.500  0.000

***

Record 6
Compound: YSi2Pb
Source: Alexandria via LeMat-Bulk
Functional: PBE
Structure: optimized geometry

Output
Crystal system: trigonal
Theoretical density, kg/m³: 5981
Spin magnetization, μB per cell: 0.00
Raw formation energy, eV/atom: -0.10

Lattice parameters (Å, degrees): 8.250 8.250 8.250 26.40 26.40 26.40
Fractional coordinates of all 4 atoms:
Y  0.000  0.000  0.000
Si  0.252  0.252  0.252
Si  0.546  0.546  0.546
Pb  0.776  0.776  0.776